No. 1
First-principles (PBE) data for SrInFe2Os after structural relaxation, as listed in the Alexandria database.

```
SrInFe2Os
1.0
4.504 0.000 0.000
0.000 4.504 0.000
0.000 0.000 5.522
Sr In Fe Os
1 1 2 1
Direct
0.000 0.000 0.000 Sr
0.000 0.000 0.500 In
0.000 0.500 0.000 Fe
0.500 0.000 0.000 Fe
0.500 0.500 0.500 Os
```

Summary:
Symmetry: No. 123
Energy of formation in kcal/mol of atoms: 60.464
Density in Mg/m³: 7.48
DOS at the Fermi energy in states/eV/cell: 4.84

---

No. 2
First-principles (PBE) data for Nd3Ho2Hg2 after structural relaxation, as listed in the Alexandria database.

```
Nd3Ho2Hg2
1.0
4.725 -2.731 0.000
4.725 2.731 0.000
-3.155 0.000 8.043
Nd Ho Hg
3 2 2
Direct
0.000 0.000 0.000 Nd
0.159 0.159 0.477 Nd
0.841 0.841 0.523 Nd
0.426 0.426 0.277 Ho
0.574 0.574 0.723 Ho
0.289 0.289 0.866 Hg
0.711 0.711 0.134 Hg
```

Summary:
Symmetry: No. 12
Energy of formation in kcal/mol of atoms: -5.365
Density in Mg/m³: 9.31
DOS at the Fermi energy in states/eV/cell: 7.26
Polymorph energy (0 for the lowest one) in eV/f.u.: 0.000

---

No. 3
First-principles (PBE) data for Y2Si2Ge after structural relaxation, as listed in the Alexandria database.

```
Y2Si2Ge
1.0
-2.018 3.065 4.213
2.018 -3.065 4.213
2.018 3.065 -4.213
Y Si Ge
2 2 1
Direct
0.223 0.223 0.000 Y
0.777 0.777 0.000 Y
0.195 0.500 0.695 Si
0.805 0.500 0.305 Si
0.500 0.000 0.500 Ge
```

Summary:
Symmetry: No. 71
Density in Mg/m³: 4.88
Uncorrected formation energy in eV/atom: -0.71
DOS at the Fermi energy in states/eV/cell: 1.43
Polymorph energy (0 for the lowest one) in eV/f.u.: 0.000

---

No. 4
First-principles (PBE) data for Zr2AlSn after structural relaxation, as listed in the Alexandria database.

```
Zr2AlSn
1.0
-3.870 3.870 3.020
3.870 -3.870 3.020
3.870 3.870 -3.020
Zr Al Sn
4 2 2
Direct
0.118 0.125 0.493 Zr
0.375 0.882 0.007 Zr
0.632 0.625 0.507 Zr
0.875 0.368 0.993 Zr
0.000 0.000 0.000 Al
0.750 0.250 0.500 Al
0.250 0.750 0.500 Sn
0.500 0.500 0.000 Sn
```

Summary:
Symmetry: No. 122
Energy of formation in kcal/mol of atoms: -3.108
Density in Mg/m³: 6.02
DOS at the Fermi energy in states/eV/cell: 5.03

---

No. 5
First-principles (PBE) data for YCoBr after structural relaxation, as listed in the Alexandria database.

```
YCoBr
1.0
0.000 3.179 3.179
3.179 0.000 3.179
3.179 3.179 0.000
Y Co Br
1 1 1
Direct
0.000 0.000 0.000 Y
0.750 0.750 0.750 Co
0.500 0.500 0.500 Br
```

Summary:
Symmetry: No. 216
Density in Mg/m³: 5.89
Uncorrected formation energy in eV/atom: 0.02
DOS at the Fermi energy in states/eV/cell: 2.97

---

No. 6
First-principles (PBE) data for CdNiMoP2 after structural relaxation, as listed in the Alexandria database.

```
CdNiMoP2
1.0
4.623 0.000 0.000
0.000 4.623 0.000
0.000 0.000 4.758
Cd Ni Mo P
1 1 1 2
Direct
0.000 0.000 0.000 Cd
0.500 0.500 0.000 Ni
0.500 0.500 0.500 Mo
0.000 0.500 0.500 P
0.500 0.000 0.500 P
```

Summary:
Symmetry: No. 123
Energy of formation in kcal/mol of atoms: 13.373
Density in Mg/m³: 5.37
DOS at the Fermi energy in states/eV/cell: 4.29

---

No. 7
First-principles (PBE) data for Li3Pr2Pd12Au after structural relaxation, as listed in the Alexandria database.

```
Li3Pr2Pd12Au
1.0
3.183 1.838 9.643
-3.183 1.838 9.643
0.000 -3.675 9.643
Li Pr Pd Au
3 2 12 1
Direct
0.000 0.500 0.500 Li
0.500 0.000 0.500 Li
0.500 0.500 0.000 Li
0.134 0.134 0.134 Pr
0.866 0.866 0.866 Pr
0.067 0.630 0.630 Pd
0.096 0.096 0.677 Pd
0.096 0.677 0.096 Pd
0.323 0.904 0.904 Pd
0.370 0.370 0.933 Pd
0.370 0.933 0.370 Pd
0.630 0.067 0.630 Pd
0.630 0.630 0.067 Pd
0.677 0.096 0.096 Pd
0.904 0.323 0.904 Pd
0.904 0.904 0.323 Pd
0.933 0.370 0.370 Pd
0.500 0.500 0.500 Au
```

Summary:
Symmetry: No. 166
Energy of formation in kcal/mol of atoms: -5.691
Density in Mg/m³: 8.72
DOS at the Fermi energy in states/eV/cell: 12.99

---

No. 8
First-principles (PBE) data for CoAsOs2 after structural relaxation, as listed in the Alexandria database.

```
CoAsOs2
1.0
4.373 -1.417 0.000
4.373 1.417 0.000
-0.354 0.000 4.480
Co As Os
1 1 2
Direct
0.000 0.000 0.000 Co
0.240 0.240 0.791 As
0.470 0.470 0.480 Os
0.734 0.734 0.255 Os
```

Summary:
Symmetry: No. 8
Energy of formation in kcal/mol of atoms: 7.651
Density in Mg/m³: 15.39
DOS at the Fermi energy in states/eV/cell: 3.52

---

No. 9
First-principles (PBE) data for Ac2Y3Ho6 after structural relaxation, as listed in the Alexandria database.

```
Ac2Y3Ho6
1.0
3.098 -5.369 0.000
3.098 5.369 0.000
-2.068 0.000 11.814
Ac Y Ho
2 3 6
Direct
0.167 0.833 0.000 Ac
0.833 0.167 0.000 Ac
0.000 0.000 0.500 Y
0.335 0.665 0.500 Y
0.665 0.335 0.500 Y
0.080 0.414 0.740 Ho
0.254 0.254 0.259 Ho
0.414 0.080 0.740 Ho
0.586 0.920 0.260 Ho
0.746 0.746 0.741 Ho
0.920 0.586 0.260 Ho
```

Summary:
Symmetry: No. 12
Energy of formation in kcal/mol of atoms: 4.488
Density in Mg/m³: 7.23
DOS at the Fermi energy in states/eV/cell: 18.06

---

No. 10
First-principles (PBE) data for Ce4SiRu after structural relaxation, as listed in the Alexandria database.

```
Ce4SiRu
1.0
4.172 -6.266 0.000
4.172 6.266 0.000
-2.563 0.000 5.339
Ce Si Ru
8 2 2
Direct
0.064 0.676 0.915 Ce
0.213 0.391 0.687 Ce
0.324 0.936 0.585 Ce
0.391 0.213 0.187 Ce
0.609 0.787 0.813 Ce
0.676 0.064 0.415 Ce
0.787 0.609 0.313 Ce
0.936 0.324 0.085 Ce
0.385 0.615 0.250 Si
0.615 0.385 0.750 Si
0.004 0.996 0.750 Ru
0.996 0.004 0.250 Ru
```

Summary:
Symmetry: No. 15
Density in Mg/m³: 8.20
Uncorrected formation energy in eV/atom: -0.38
DOS at the Fermi energy in states/eV/cell: 25.35
Polymorph energy (0 for the lowest one) in eV/f.u.: 0.000

---

No. 11
First-principles (PBE) data for CdSiBr2 after structural relaxation, as listed in the Alexandria database.

```
CdSiBr2
1.0
1.950 1.126 10.824
-1.950 1.126 10.824
0.000 -2.252 10.824
Cd Si Br
1 1 2
Direct
0.000 0.000 0.000 Cd
0.500 0.500 0.500 Si
0.117 0.117 0.117 Br
0.883 0.883 0.883 Br
```

Summary:
Symmetry: No. 166
Density in Mg/m³: 3.50
Uncorrected formation energy in eV/atom: -0.06
DOS at the Fermi energy in states/eV/cell: 0.00
Polymorph energy (0 for the lowest one) in eV/f.u.: 0.438

---

No. 12
First-principles (PBE) data for Ta2SnRuI after structural relaxation, as listed in the Alexandria database.

```
Ta2SnRuI
1.0
5.045 0.000 0.000
0.000 5.045 0.000
0.000 0.000 4.901
Ta Sn Ru I
2 1 1 1
Direct
0.000 0.500 0.000 Ta
0.500 0.000 0.000 Ta
0.000 0.000 0.500 Sn
0.500 0.500 0.500 Ru
0.500 0.500 0.000 I
```

Summary:
Symmetry: No. 123
Density in Mg/m³: 9.43
Uncorrected formation energy in eV/atom: 1.76
DOS at the Fermi energy in states/eV/cell: 4.46

---

No. 13
First-principles (PBE) data for Ca2ThPt4 after structural relaxation, as listed in the Alexandria database.

```
Ca2ThPt4
1.0
0.000 3.630 7.375
2.960 0.000 7.375
2.960 3.630 0.000
Ca Th Pt
2 1 4
Direct
0.239 0.239 0.761 Ca
0.761 0.761 0.239 Ca
0.500 0.500 0.500 Th
0.120 0.120 0.380 Pt
0.380 0.380 0.120 Pt
0.620 0.620 0.880 Pt
0.880 0.880 0.620 Pt
```

Summary:
Symmetry: No. 69
Energy of formation in kcal/mol of atoms: -19.131
Density in Mg/m³: 11.45
DOS at the Fermi energy in states/eV/cell: 2.55

---

No. 14
First-principles (PBE) data for BeRhCl2 after structural relaxation, as listed in the Alexandria database.

```
BeRhCl2
1.0
-1.487 2.255 6.495
1.487 -2.255 6.495
1.487 2.255 -6.495
Be Rh Cl
1 1 2
Direct
0.000 0.000 0.000 Be
0.140 0.640 0.500 Rh
0.603 0.603 0.000 Cl
0.893 0.393 0.500 Cl
```

Summary:
Symmetry: No. 44
Density in Mg/m³: 3.48
Uncorrected formation energy in eV/atom: -0.30
DOS at the Fermi energy in states/eV/cell: 2.31
Polymorph energy (0 for the lowest one) in eV/f.u.: 0.329

---

No. 15
First-principles (PBE) data for Zn2In2Mo after structural relaxation, as listed in the Alexandria database.

```
Zn2In2Mo
1.0
7.024 0.000 0.000
0.000 7.024 0.000
0.000 0.000 3.722
Zn In Mo
4 4 2
Direct
0.128 0.372 0.000 Zn
0.372 0.872 0.000 Zn
0.628 0.128 0.000 Zn
0.872 0.628 0.000 Zn
0.177 0.677 0.500 In
0.323 0.177 0.500 In
0.677 0.823 0.500 In
0.823 0.323 0.500 In
0.000 0.000 0.000 Mo
0.500 0.500 0.000 Mo
```

Summary:
Symmetry: No. 127
Energy of formation in kcal/mol of atoms: 9.232
Density in Mg/m³: 8.25
DOS at the Fermi energy in states/eV/cell: 6.62

---

No. 16
First-principles (PBE) data for VZnSb3 after structural relaxation, as listed in the Alexandria database.

```
VZnSb3
1.0
5.121 0.000 0.000
0.000 5.121 0.000
0.000 0.000 5.121
V Zn Sb
1 1 3
Direct
0.000 0.000 0.000 V
0.500 0.500 0.500 Zn
0.000 0.000 0.500 Sb
0.000 0.500 0.000 Sb
0.500 0.000 0.000 Sb
```

Summary:
Symmetry: No. 221
Density in Mg/m³: 5.95
Uncorrected formation energy in eV/atom: 0.35
DOS at the Fermi energy in states/eV/cell: 4.21
Polymorph energy (0 for the lowest one) in eV/f.u.: 0.000

---

No. 17
First-principles (PBE) data for NaMg2Tl after structural relaxation, as listed in the Alexandria database.

```
NaMg2Tl
1.0
-1.648 2.712 6.291
1.648 -2.712 6.291
1.648 2.712 -6.291
Na Mg Tl
1 2 1
Direct
0.000 0.000 0.000 Na
0.265 0.265 0.000 Mg
0.735 0.735 0.000 Mg
0.500 0.500 0.000 Tl
```

Summary:
Symmetry: No. 71
Energy of formation in kcal/mol of atoms: 2.815
Density in Mg/m³: 4.08
DOS at the Fermi energy in states/eV/cell: 1.80

---

No. 18
First-principles (PBE) data for Ba2LiIn after structural relaxation, as listed in the Alexandria database.

```
Ba2LiIn
1.0
-1.926 3.206 6.976
1.926 -3.206 6.976
1.926 3.206 -6.976
Ba Li In
2 1 1
Direct
0.240 0.240 0.000 Ba
0.760 0.760 0.000 Ba
0.000 0.000 0.000 Li
0.500 0.500 0.000 In
```

Summary:
Symmetry: No. 71
Energy of formation in kcal/mol of atoms: 8.039
Density in Mg/m³: 3.82
DOS at the Fermi energy in states/eV/cell: 5.10

---

No. 19
First-principles (PBE) data for ZrPaPd2 after structural relaxation, as listed in the Alexandria database.

```
ZrPaPd2
1.0
3.348 0.000 0.000
0.000 3.348 0.000
0.000 0.000 7.163
Zr Pa Pd
1 1 2
Direct
0.000 0.000 0.000 Zr
0.000 0.000 0.500 Pa
0.500 0.500 0.224 Pd
0.500 0.500 0.776 Pd
```

Summary:
Symmetry: No. 123
Energy of formation in kcal/mol of atoms: -10.907
Density in Mg/m³: 11.06
DOS at the Fermi energy in states/eV/cell: 5.96
Polymorph energy (0 for the lowest one) in eV/f.u.: 0.000

---

No. 20
First-principles (PBE) data for Ba6NiRh after structural relaxation, as listed in the Alexandria database.

```
Ba6NiRh
1.0
7.776 0.000 0.000
3.884 6.737 0.000
3.883 -2.239 7.388
Ba Ni Rh
6 1 1
Direct
0.004 0.400 0.248 Ba
0.347 0.904 0.752 Ba
0.349 0.751 0.248 Ba
0.651 0.249 0.752 Ba
0.653 0.096 0.248 Ba
0.996 0.600 0.752 Ba
0.500 0.500 0.500 Ni
0.500 0.000 0.000 Rh
```

Summary:
Symmetry: No. 2
Energy of formation in kcal/mol of atoms: -1.721
Density in Mg/m³: 4.23
DOS at the Fermi energy in states/eV/cell: 8.27